(1)
Entry from Alexandria via LeMat-Bulk: a relaxed EuS2 crystal (PBE).

Cell and atoms, written as extended XYZ:
```
3
Lattice="3.9275 0.0001 -0.0022 0.0001 3.9275 -0.0022 -1.9663 -1.9663 5.0258" Properties=species:S:1:pos:R:3 pbc="T T T"
Eu 1.9638 1.9638 -0.0022
S 0.0007 0.0007 1.0889
S 1.9606 1.9606 3.9326
```

D(E_F) = 4.0 states/eV/cell
Electronic total energy = -7.460 eV per atom


(2)
Entry from Alexandria via LeMat-Bulk: a relaxed NaBiTe4Pb2 crystal (PBE).

Cell and atoms, written as extended XYZ:
```
8
Lattice="4.5788 0.0000 0.0000 0.0000 7.9383 0.2054 0.0000 -2.7413 7.4004" Properties=species:S:1:pos:R:3 pbc="T T T"
Na 2.2894 3.9691 0.1027
Bi 0.0000 0.0000 0.0000
Te 2.2894 1.2899 1.8212
Te 2.2894 3.9070 5.7846
Te 0.0000 -0.1039 5.6360
Te 0.0000 5.3008 1.9698
Pb 2.2894 -1.3707 3.7002
Pb 0.0000 2.5985 3.8029
```

D(E_F) = 0.5 states/eV/cell
Electronic total energy = -3.591 eV per atom


(3)
Entry from Alexandria via LeMat-Bulk: a relaxed Pm3GeRh2 crystal (PBE).

Cell and atoms, written as extended XYZ:
```
24
Lattice="3.9545 0.0000 0.0000 0.0000 12.2860 0.0000 0.0000 0.0000 11.9968" Properties=species:S:1:pos:R:3 pbc="T T T"
Pm 0.9886 4.6691 0.7195
Pm 2.9659 7.6169 11.2773
Pm 2.9659 10.8120 5.2789
Pm 0.9886 1.4739 6.7179
Pm 0.9886 8.4083 2.3792
Pm 2.9659 3.8777 9.6176
Pm 2.9659 2.2653 3.6192
Pm 0.9886 10.0206 8.3776
Pm 0.9886 5.4034 4.4797
Pm 2.9659 6.8826 7.5171
Pm 2.9659 11.5463 1.5187
Pm 0.9886 0.7396 10.4781
Ge 0.9886 1.6514 1.4304
Ge 2.9659 10.6346 10.5664
Ge 2.9659 7.7944 4.5680
Ge 0.9886 4.4916 7.4288
Rh 0.9886 8.5487 5.8750
Rh 2.9659 3.7373 6.1217
Rh 2.9659 2.4057 0.1234
Rh 0.9886 9.8803 11.8734
Rh 0.9886 0.1797 3.7397
Rh 2.9659 12.1063 8.2571
Rh 2.9659 6.3226 2.2587
Rh 0.9886 5.9633 9.7381
```

D(E_F) = 16.5 states/eV/cell
Energy above the most stable polymorph in this dataset = 0 meV/atom
Electronic total energy = -6.305 eV per atom
Energy relative to the elements = -0.71 eV per atom


(4)
Entry from Alexandria via LeMat-Bulk: a relaxed KHf2CuF crystal (PBE).

Cell and atoms, written as extended XYZ:
```
5
Lattice="4.4929 0.0000 0.0000 0.0000 4.9326 0.0000 0.0000 0.0000 4.4929" Properties=species:S:1:pos:R:3 pbc="T T T"
K 0.0000 2.4663 0.0000
Hf 0.0000 0.0000 2.2464
Hf 2.2464 0.0000 0.0000
Cu 2.2464 2.4663 2.2464
F 0.0000 0.0000 0.0000
```

D(E_F) = 4.7 states/eV/cell
Electronic total energy = -5.316 eV per atom


(5)
Entry from Alexandria via LeMat-Bulk: a relaxed SrY2Cd2 crystal (PBE).

Cell and atoms, written as extended XYZ:
```
5
Lattice="-2.5738 -3.9408 0.8042 1.8371 -0.3025 4.3971 -5.7434 1.9036 5.1232" Properties=species:S:1:pos:R:3 pbc="T T T"
Y -4.3428 -2.0795 4.2640
Y -2.1374 -0.2603 6.0605
Sr 0.0000 0.0000 0.0000
Cd -1.4424 -1.3174 3.1047
Cd -5.0378 -1.0224 7.2198
```

D(E_F) = 7.8 states/eV/cell
Energy above the most stable polymorph in this dataset = 63 meV/atom
Electronic total energy = -3.394 eV per atom
Energy relative to the elements = -0.11 eV per atom


(6)
Entry from Alexandria via LeMat-Bulk: a relaxed Nd2InSi3Pd4 crystal (PBE).

Cell and atoms, written as extended XYZ:
```
10
Lattice="4.2915 0.0000 0.0000 0.0000 4.2915 0.0000 0.0000 0.0000 10.3901" Properties=species:S:1:pos:R:3 pbc="T T T"
Nd 2.1458 0.0000 2.5115
Nd 0.0000 2.1458 7.8786
In 2.1458 2.1458 5.1951
Si 0.0000 0.0000 5.1951
Si 2.1458 0.0000 9.1332
Si 0.0000 2.1458 1.2569
Pd 2.1458 2.1458 0.0000
Pd 0.0000 0.0000 0.0000
Pd 2.1458 0.0000 6.7398
Pd 0.0000 2.1458 3.6503
```

D(E_F) = 4.0 states/eV/cell
Electronic total energy = -5.754 eV per atom


(7)
Entry from Alexandria via LeMat-Bulk: a relaxed Sr2Li3Sn2 crystal (PBE).

Cell and atoms, written as extended XYZ:
```
7
Lattice="-4.6836 0.8808 1.3320 0.4766 -2.6089 -5.7908 0.4796 -5.1235 5.0743" Properties=species:S:1:pos:R:3 pbc="T T T"
Sr -3.5204 -2.2787 -1.6801
Sr -0.2071 -4.5728 2.2956
Li -2.3418 0.4404 0.6660
Li -2.6116 -2.2588 1.5024
Li -1.1159 -4.5927 -0.8869
Sn -3.3378 -5.0968 0.8254
Sn -0.3897 -1.7547 -0.2099
```

D(E_F) = 3.2 states/eV/cell
Electronic total energy = -2.883 eV per atom
Energy relative to the elements = -0.44 eV per atom


(8)
Entry from Alexandria via LeMat-Bulk: a relaxed NaHoSn4 crystal (PBE).

Cell and atoms, written as extended XYZ:
```
6
Lattice="-1.4300 5.5613 -2.3240 -4.6926 3.2494 2.4072 1.1459 5.1206 3.2924" Properties=species:S:1:pos:R:3 pbc="T T T"
Na -1.2442 3.4828 0.8439
Ho 0.0000 0.0000 0.0000
Sn -3.6865 6.1446 0.4604
Sn -0.7596 7.0826 0.9042
Sn -3.1120 8.7116 2.1109
Sn -2.3952 5.9237 3.2759
```

D(E_F) = 6.6 states/eV/cell
Electronic total energy = -3.850 eV per atom
Energy relative to the elements = -0.20 eV per atom


(9)
Entry from Alexandria via LeMat-Bulk: a relaxed LiCoSi2 crystal (PBE).

Cell and atoms, written as extended XYZ:
```
4
Lattice="3.8090 0.0000 0.0000 1.9045 3.2987 0.0000 1.9045 1.0996 4.3793" Properties=species:S:1:pos:R:3 pbc="T T T"
Li 3.8090 2.1991 2.3385
Co 5.7135 3.2987 4.2400
Si 1.9045 1.0996 3.6947
Si 1.9045 1.0996 0.6750
```

D(E_F) = 2.6 states/eV/cell
Energy above the most stable polymorph in this dataset = 2 meV/atom
Electronic total energy = -5.253 eV per atom


(10)
Entry from Alexandria via LeMat-Bulk: a relaxed Na2Bi2I crystal (PBE).

Cell and atoms, written as extended XYZ:
```
10
Lattice="8.7624 0.0000 0.0000 0.0000 8.7624 0.0000 0.0000 0.0000 4.7205" Properties=species:S:1:pos:R:3 pbc="T T T"
I 0.0000 0.0000 0.0000
I 4.3812 4.3812 0.0000
Na 2.8260 7.2072 0.0000
Na 7.2072 5.9364 0.0000
Na 5.9364 1.5552 0.0000
Na 1.5552 2.8260 0.0000
Bi 0.9888 5.3700 2.3602
Bi 5.3700 7.7737 2.3602
Bi 7.7737 3.3924 2.3602
Bi 3.3924 0.9888 2.3602
```

D(E_F) = 3.9 states/eV/cell
Energy above the most stable polymorph in this dataset = 173 meV/atom
Electronic total energy = -2.707 eV per atom


(11)
Entry from Alexandria via LeMat-Bulk: a relaxed SiIr2Au crystal (PBE).

Cell and atoms, written as extended XYZ:
```
4
Lattice="-0.5274 -1.8655 -4.3281 1.0858 -3.4227 3.9600 -2.5030 -1.0650 0.8017" Properties=species:S:1:pos:R:3 pbc="T T T"
Au 0.2792 -2.6441 -0.1841
Ir 0.0000 0.0000 0.0000
Ir -1.5152 -1.4653 -1.7632
Si -0.7086 -2.2438 2.3809
```

D(E_F) = 2.8 states/eV/cell
Electronic total energy = -6.391 eV per atom


(12)
Entry from Alexandria via LeMat-Bulk: a relaxed CaCrGa3 crystal (PBE).

Cell and atoms, written as extended XYZ:
```
5
Lattice="-2.1528 -1.5935 -3.8749 1.3085 -4.3942 1.0801 -3.9801 -0.5828 2.4509" Properties=species:S:1:pos:R:3 pbc="T T T"
Cr 0.0000 0.0000 0.0000
Ca -2.4122 -3.2853 -0.1719
Ga 0.6543 -2.1971 0.5401
Ga -1.9901 -0.2914 1.2255
Ga -1.0764 -0.7968 -1.9374
```

D(E_F) = 1.4 states/eV/cell
Electronic total energy = -4.304 eV per atom
Energy relative to the elements = -0.16 eV per atom


| no. | total moment (μB/f.u.) |
| --- | --- |
| 1 | 7.000 |
| 2 | 0.000 |
| 3 | 0.000 |
| 4 | 0.000 |
| 5 | 0.433 |
| 6 | 0.000 |
| 7 | 0.330 |
| 8 | 0.000 |
| 9 | 0.000 |
| 10 | 0.000 |
| 11 | 0.000 |
| 12 | 0.664 |